A relaxed structure of LiYTc, computed with PBE.

Unit cell a=6.2156 b=6.2156 c=6.2156 alpha=90.00 beta=90.00 gamma=90.00
Positions (direct):
Li (0.0000, 0.0000, 0.0000)
Li (0.0000, 0.5000, 0.5000)
Li (0.5000, 0.0000, 0.5000)
Li (0.5000, 0.5000, 0.0000)
Y (0.2500, 0.2500, 0.2500)
Y (0.2500, 0.7500, 0.7500)
Y (0.7500, 0.2500, 0.7500)
Y (0.7500, 0.7500, 0.2500)
Tc (0.2500, 0.2500, 0.7500)
Tc (0.2500, 0.7500, 0.2500)
Tc (0.7500, 0.2500, 0.2500)
Tc (0.7500, 0.7500, 0.7500)

Computed properties:
Symmetry: No. 216
Polymorph energy (0 for the lowest one) (meV per atom): 442.8
Total energy (eV/atom): -5.488
Formation enthalpy at 0 K (eV/atom): 0.760


A relaxed structure of TaTc2Br, computed with PBE.

Unit cell a=9.6979 b=3.0626 c=4.6286 alpha=90.00 beta=94.95 gamma=90.00
Positions (direct):
Ta (0.0000, 0.0000, 0.0000)
Ta (0.5000, 0.5000, 0.0000)
Tc (0.2183, 0.5000, 0.2137)
Tc (0.2817, 0.0000, 0.7863)
Tc (0.7183, 0.0000, 0.2137)
Tc (0.7817, 0.5000, 0.7863)
Br (0.0000, 0.5000, 0.5000)
Br (0.5000, 0.0000, 0.5000)

Computed properties:
E_form (uncorrected) (eV per atom): 0.550
Symmetry: No. 12
Polymorph energy (0 for the lowest one) (meV per atom): 268.2
Total energy (eV/atom): -8.014


A relaxed structure of Sr2BeBr, computed with PBE.

Unit cell a=4.3352 b=4.3352 c=24.5968 alpha=90.00 beta=90.00 gamma=120.00
Positions (direct):
Sr (0.0000, 0.0000, 0.2411)
Sr (0.0000, 0.0000, 0.7589)
Sr (0.3333, 0.6667, 0.4255)
Sr (0.3333, 0.6667, 0.9078)
Sr (0.6667, 0.3333, 0.0922)
Sr (0.6667, 0.3333, 0.5745)
Be (0.0000, 0.0000, 0.5000)
Be (0.3333, 0.6667, 0.1667)
Be (0.6667, 0.3333, 0.8333)
Br (0.0000, 0.0000, 0.0000)
Br (0.3333, 0.6667, 0.6667)
Br (0.6667, 0.3333, 0.3333)

Computed properties:
E_form (uncorrected) (eV per atom): -0.474
Symmetry: No. 166
Polymorph energy (0 for the lowest one) (meV per atom): 0.0
Total energy (eV/atom): -2.665


A relaxed structure of ReSn, computed with PBE.

Unit cell a=8.3902 b=7.6769 c=4.9616 alpha=80.06 beta=64.32 gamma=35.62
Positions (direct):
Re (0.0389, 0.0389, 0.2111)
Re (0.2111, 0.2111, 0.0389)
Re (0.7889, 0.7889, 0.9611)
Re (0.9611, 0.9611, 0.7889)
Sn (0.2083, 0.5417, 0.2083)
Sn (0.4583, 0.7917, 0.4583)
Sn (0.5417, 0.2083, 0.5417)
Sn (0.7917, 0.4583, 0.7917)

Computed properties:
Symmetry: No. 70
Polymorph energy (0 for the lowest one) (meV per atom): 329.3
Total energy (eV/atom): -7.541
Formation enthalpy at 0 K (eV/atom): 0.684


A relaxed structure of Tb2YHoAs4, computed with PBE.

Unit cell a=7.1438 b=4.1268 c=7.1445 alpha=90.00 beta=109.46 gamma=90.00
Positions (direct):
Tb (0.0000, 0.0000, 0.0000)
Tb (0.0000, 0.5000, 0.5000)
Y (0.5000, 0.0000, 0.5000)
Ho (0.5000, 0.5000, 0.0000)
As (0.2511, 0.5000, 0.2496)
As (0.2519, 0.0000, 0.7514)
As (0.7481, 0.0000, 0.2486)
As (0.7489, 0.5000, 0.7504)

Computed properties:
Symmetry: No. 10
Total energy (eV/atom): -6.405
Formation enthalpy at 0 K (eV/atom): -1.543


A relaxed structure of Ba6CdIn3, computed with PBE.

Unit cell a=10.5631 b=6.0745 c=13.9152 alpha=90.00 beta=111.10 gamma=90.00
Positions (direct):
Ba (0.0254, 0.2500, 0.4183)
Ba (0.1611, 0.7500, 0.1619)
Ba (0.2433, 0.2500, 0.9948)
Ba (0.3336, 0.7500, 0.8171)
Ba (0.3690, 0.2500, 0.3539)
Ba (0.3817, 0.2500, 0.6372)
Ba (0.6183, 0.7500, 0.3628)
Ba (0.6310, 0.7500, 0.6461)
Ba (0.6664, 0.2500, 0.1829)
Ba (0.7567, 0.7500, 0.0052)
Ba (0.8389, 0.2500, 0.8381)
Ba (0.9746, 0.7500, 0.5817)
Cd (0.4597, 0.7500, 0.0921)
Cd (0.5403, 0.2500, 0.9079)
In (0.0212, 0.7500, 0.8635)
In (0.0807, 0.2500, 0.7152)
In (0.2636, 0.7500, 0.4680)
In (0.7364, 0.2500, 0.5320)
In (0.9193, 0.7500, 0.2848)
In (0.9788, 0.2500, 0.1365)

Computed properties:
Symmetry: No. 11
Total energy (eV/atom): -2.371
Formation enthalpy at 0 K (eV/atom): -0.304